Entry 1:
Entry from Alexandria via LeMat-Bulk: TaNi2P after structural relaxation (GGA-PBE).

Cell: 3.5702 3.5702 8.7960 Å, 78.29 78.29 90.00°
Fractional coordinates of all 8 atoms:
P 0.2500 0.7500 0.5000
P 0.5000 0.5000 0.0000
Ta 0.0000 0.0000 0.0000
Ta 0.7500 0.2500 0.5000
Ni 0.3750 0.3987 0.7500
Ni 0.6013 0.1250 0.2500
Ni 0.8750 0.8513 0.7500
Ni 0.1487 0.6250 0.2500

Calculated values
Symmetry: No. 122
ρ: 10.2 Mg/m³
Density of states at the Fermi level: 6.992 states/eV/cell
ΔH_f (0 K): -10 kJ per mole of atoms



Entry 2:
Entry from Alexandria via LeMat-Bulk: LaYBr2 after structural relaxation (GGA-PBE).

Cell: 10.8358 10.8358 10.8358 Å, 21.02 21.02 21.02°
Last column: magnetic moment on the atom in μB.
Fractional coordinates of all 4 atoms:
La 0.5030 0.5030 0.5030  0.30
Br 0.0191 0.0191 0.0191  0.01
Br 0.2335 0.2335 0.2335  0.01
Y 0.7444 0.7444 0.7444  0.36

Calculated values
Symmetry: No. 160
E_form (uncorrected): -1.22 eV/atom
ρ: 4.5 Mg/m³
Density of states at the Fermi level: 1.215 states/eV/cell
Distance to the lowest polymorph of the same formula: 0 meV/atom



Entry 3:
Entry from Alexandria via LeMat-Bulk: ReIr3N after structural relaxation (GGA-PBE).

Cell: 4.0806 4.0806 4.0806 Å, 90.00 90.00 90.00°
Last column: magnetic moment on the atom in μB.
Fractional coordinates of all 5 atoms:
Re 0.5000 0.5000 0.5000  0.45
Ir 0.5000 0.0000 0.0000  0.07
Ir 0.0000 0.0000 0.5000  0.12
Ir 0.0000 0.5000 0.0000  0.11
N 0.0000 0.0000 0.0000  0.00

Calculated values
Symmetry: No. 221
E_form (uncorrected): 0.93 eV/atom
ρ: 19.0 Mg/m³
Density of states at the Fermi level: 8.169 states/eV/cell
Distance to the lowest polymorph of the same formula: 0 meV/atom



Entry 4:
Entry from Alexandria via LeMat-Bulk: PmEuCuRu after structural relaxation (GGA-PBE).

Cell: 4.9890 4.9890 4.9890 Å, 60.00 60.00 60.00°
Last column: magnetic moment on the atom in μB.
Fractional coordinates of all 4 atoms:
Eu 0.5000 0.5000 0.5000  6.72
Pm 0.0000 0.0000 0.0000  0.03
Ru 0.7500 0.7500 0.7500  -0.26
Cu 0.2500 0.2500 0.2500  -0.01

Calculated values
Symmetry: No. 216
ρ: 8.7 Mg/m³
Density of states at the Fermi level: 10.678 states/eV/cell
ΔH_f (0 K): -5 kJ per mole of atoms



Entry 5:
Entry from Alexandria via LeMat-Bulk: Ca2HoMg2Cd5 after structural relaxation (GGA-PBE).

Cell: 4.4061 10.7559 10.7559 Å, 90.00 90.00 90.00°
Fractional coordinates of all 20 atoms:
Mg 0.0000 0.1169 0.6169
Mg 0.0000 0.8831 0.3831
Mg 0.0000 0.3831 0.1169
Mg 0.0000 0.6169 0.8831
Cd 0.5000 0.7938 0.9451
Cd 0.5000 0.5549 0.7062
Cd 0.5000 0.4451 0.2938
Cd 0.5000 0.9451 0.2062
Cd 0.5000 0.2062 0.0549
Cd 0.5000 0.7062 0.4451
Cd 0.5000 0.0549 0.7938
Cd 0.5000 0.0000 0.5000
Cd 0.5000 0.2938 0.5549
Cd 0.5000 0.5000 0.0000
Ca 0.0000 0.1793 0.3207
Ca 0.0000 0.3207 0.8207
Ca 0.0000 0.6793 0.1793
Ca 0.0000 0.8207 0.6793
Ho 0.0000 0.0000 0.0000
Ho 0.0000 0.5000 0.5000

Calculated values
Symmetry: No. 127
ρ: 5.6 Mg/m³
Density of states at the Fermi level: 8.844 states/eV/cell
ΔH_f (0 K): -23 kJ per mole of atoms



Entry 6:
Entry from Alexandria via LeMat-Bulk: NaAsS3 after structural relaxation (GGA-PBE).

Cell: 6.2762 8.7876 10.8711 Å, 90.00 90.00 90.00°
Fractional coordinates of all 20 atoms:
As 0.5290 0.3597 0.2500
As 0.0290 0.1403 0.7500
As 0.9710 0.8597 0.2500
As 0.4710 0.6403 0.7500
S 0.1195 0.8120 0.4181
S 0.8805 0.1880 0.5819
S 0.3362 0.0454 0.7500
S 0.6195 0.6880 0.5819
S 0.8362 0.4546 0.2500
S 0.3805 0.3120 0.0819
S 0.3805 0.3120 0.4181
S 0.1638 0.5454 0.7500
S 0.8805 0.1880 0.9181
S 0.6638 0.9546 0.2500
S 0.6195 0.6880 0.9181
S 0.1195 0.8120 0.0819
Na 0.0000 0.5000 0.0000
Na 0.5000 0.0000 0.5000
Na 0.5000 0.0000 0.0000
Na 0.0000 0.5000 0.5000

Calculated values
Symmetry: No. 62
E_form (uncorrected): -0.26 eV/atom
ρ: 2.2 Mg/m³
Distance to the lowest polymorph of the same formula: 174 meV/atom



Entry 7:
Entry from Alexandria via LeMat-Bulk: AlCu2BiS4 after structural relaxation (GGA-PBE).

Cell: 5.6851 5.6851 6.6603 Å, 115.28 115.28 89.96°
Fractional coordinates of all 8 atoms:
Cu 0.7500 0.2500 0.4999
Cu 0.2500 0.7500 0.4999
S 0.4239 0.8550 0.2789
S 0.8550 0.4239 0.2789
S 0.1453 0.1453 0.7215
S 0.5762 0.5762 0.7215
Bi 0.9999 0.9999 0.9999
Al 0.5000 0.5000 0.0001

Calculated values
Symmetry: No. 121
E_form (uncorrected): -0.49 eV/atom
ρ: 4.8 Mg/m³



Entry 8:
Entry from Alexandria via LeMat-Bulk: SiHgBr after structural relaxation (GGA-PBE).

Cell: 6.5958 6.5958 6.5958 Å, 145.99 145.33 49.35°
Fractional coordinates of all 3 atoms:
Br 0.0312 0.0312 0.0000
Si 0.2242 0.2242 0.0000
Hg 0.7446 0.7446 0.0000

Calculated values
Symmetry: No. 44
E_form (uncorrected): 0.00 eV/atom
ρ: 5.6 Mg/m³
Density of states at the Fermi level: 0.597 states/eV/cell
Distance to the lowest polymorph of the same formula: 0 meV/atom



Entry 9:
Entry from Alexandria via LeMat-Bulk: GaIr2Os after structural relaxation (GGA-PBE).

Cell: 5.4558 5.4558 7.0212 Å, 67.14 67.14 90.00°
Fractional coordinates of all 8 atoms:
Os 0.7500 0.2500 0.5000
Os 0.0000 0.0000 0.0000
Ga 0.5000 0.5000 0.0000
Ga 0.2500 0.7500 0.5000
Ir 0.8750 0.8873 0.7500
Ir 0.1127 0.6250 0.2500
Ir 0.6373 0.1250 0.2500
Ir 0.3750 0.3627 0.7500

Calculated values
Symmetry: No. 122
ρ: 12.3 Mg/m³
Density of states at the Fermi level: 5.554 states/eV/cell
Distance to the lowest polymorph of the same formula: 900 meV/atom
ΔH_f (0 K): 76 kJ per mole of atoms



Entry 10:
Entry from Alexandria via LeMat-Bulk: Nd3Ho2Hg2 after structural relaxation (GGA-PBE).

Cell: 4.9740 3.5452 11.9195 Å, 90.00 77.96 90.00°
Fractional coordinates of all 7 atoms:
Ho 0.7093 0.5000 0.5814
Ho 0.2907 0.5000 0.4186
Nd 0.1434 0.0000 0.7132
Nd 0.8566 0.0000 0.2868
Nd 0.0000 0.0000 0.0000
Hg 0.5712 0.5000 0.8577
Hg 0.4288 0.5000 0.1423

Calculated values
Symmetry: No. 65
ρ: 9.4 Mg/m³
Density of states at the Fermi level: 8.792 states/eV/cell
Distance to the lowest polymorph of the same formula: 115 meV/atom
ΔH_f (0 K): -11 kJ per mole of atoms



Entry 11:
Entry from Alexandria via LeMat-Bulk: TlPtIO2 after structural relaxation (GGA-PBE).

Cell: 4.0285 4.0285 7.9889 Å, 90.00 90.00 90.00°
Last column: magnetic moment on the atom in μB.
Fractional coordinates of all 5 atoms:
O 0.0000 0.5000 0.0000  -0.19
O 0.5000 0.0000 0.0000  -0.19
Pt 0.5000 0.5000 0.5000  -0.01
Tl 0.0000 0.0000 0.0000  0.01
I 0.0000 0.0000 0.5000  0.00

Calculated values
Symmetry: No. 123
E_form (uncorrected): 0.47 eV/atom
ρ: 7.2 Mg/m³
Density of states at the Fermi level: 6.108 states/eV/cell
Distance to the lowest polymorph of the same formula: 339 meV/atom



Entry 12:
Entry from Alexandria via LeMat-Bulk: SeBr2 after structural relaxation (GGA-PBE).

Cell: 6.4083 6.4083 6.4083 Å, 153.67 96.16 89.80°
Fractional coordinates of all 3 atoms:
Br 0.7186 0.7186 0.0000
Br 0.2814 0.2814 0.0000
Se 0.0000 0.0000 0.0000

Calculated values
Symmetry: No. 71
E_form (uncorrected): 0.17 eV/atom
ρ: 3.5 Mg/m³
Density of states at the Fermi level: 4.261 states/eV/cell
Distance to the lowest polymorph of the same formula: 179 meV/atom